[1]
ZnSi2Br meta-GGA SCAN single point on PBEsol structure; uncorrected energy = -52.628 eV/cell; energy above the lowest structure with this stoichiometry = 0.0 kJ per mole of atoms; spin magnetization = 0.00 μB per cell
1.0
3.7368 0.0000 0.0000
1.8684 3.2362 0.0000
1.8684 1.0787 6.5822
Br Si Zn
1 2 1
direct
0.7617 0.7617 0.7148 Br
0.9691 0.9691 0.0926 Si
0.2582 0.2582 0.2253 Si
0.5109 0.5109 0.4674 Zn

[2]
KMo2Br meta-GGA SCAN single point on PBEsol structure; uncorrected energy = -96.259 eV/cell; energy above the lowest structure with this stoichiometry = 0.0 kJ per mole of atoms; spin magnetization = 0.00 μB per cell
1.0
3.2270 0.0000 0.0000
0.0000 3.2270 0.0000
0.0000 0.0000 8.5034
Br K Mo
1 1 2
direct
0.0000 0.0000 0.4739 Br
0.5000 0.5000 0.7352 K
0.0000 0.0000 0.0782 Mo
0.5000 0.5000 0.2127 Mo

[3]
BaLaCoIrO6 meta-GGA SCAN single point on PBEsol structure; uncorrected energy = -229.887 eV/cell; spin magnetization = 5.00 μB per cell
1.0
-5.5738 -0.2702 0.1169
2.7156 -1.0213 -4.7663
2.9734 -3.9204 2.6420
Ba La Co Ir O
1 1 1 1 6
direct
0.9987 0.7494 0.7480 Ba
0.9882 0.2503 0.2376 La
0.5023 0.9949 0.4974 Co
0.5010 0.5008 0.0019 Ir
0.5377 0.7493 0.2903 O
0.4180 0.2526 0.6690 O
0.0029 0.2720 0.8001 O
0.9972 0.7028 0.2275 O
0.5255 0.2296 0.2269 O
0.5285 0.7984 0.8013 O

[4]
Al2PtAu meta-GGA SCAN single point on PBEsol structure; uncorrected energy = -158.306 eV/cell; energy above the lowest structure with this stoichiometry = 2.4 kJ per mole of atoms; ΔE_f = -3.45 eV/f.u.; spin magnetization = 0.00 μB per cell
1.0
3.3062 0.0000 0.0000
0.0000 4.3007 -0.0329
-1.6531 -1.1272 4.3012
Au Al Pt
1 2 1
direct
0.4957 0.4487 0.9914 Au
0.9917 0.9421 0.9834 Al
0.7532 0.2930 0.5063 Al
0.2594 0.8161 0.5188 Pt

[5]
SbBrF8 meta-GGA SCAN single point on PBEsol structure; uncorrected energy = -411.607 eV/cell; spin magnetization = 0.00 μB per cell
1.0
5.8593 0.0000 0.0000
0.0000 9.9970 0.0000
0.0000 0.0000 10.9011
Br F Sb
4 32 4
direct
0.5000 0.7500 0.9522 Br
0.5000 0.2500 0.5478 Br
0.5000 0.2500 0.0478 Br
0.5000 0.7500 0.4522 Br
0.6325 0.8859 0.8102 F
0.3675 0.6141 0.8102 F
0.6325 0.1141 0.6898 F
0.3675 0.3859 0.6898 F
0.3675 0.1141 0.1898 F
0.6325 0.3859 0.1898 F
0.3675 0.8859 0.3102 F
0.6325 0.6141 0.3102 F
0.6187 0.8575 0.0624 F
0.3813 0.6425 0.0624 F
0.6187 0.1425 0.4376 F
0.3813 0.3575 0.4376 F
0.3813 0.1425 0.9376 F
0.6187 0.3575 0.9376 F
0.3813 0.8575 0.5624 F
0.6187 0.6425 0.5624 F
0.8616 0.9048 0.6012 F
0.1384 0.5952 0.6012 F
0.8616 0.0952 0.8988 F
0.1384 0.4048 0.8988 F
0.1384 0.0952 0.3988 F
0.8616 0.4048 0.3988 F
0.1384 0.9048 0.1012 F
0.8616 0.5952 0.1012 F
0.1028 0.8814 0.8147 F
0.8972 0.6186 0.8147 F
0.1028 0.1186 0.6853 F
0.8972 0.3814 0.6853 F
0.8972 0.1186 0.1853 F
0.1028 0.3814 0.1853 F
0.8972 0.8814 0.3147 F
0.1028 0.6186 0.3147 F
0.8839 0.0000 0.7500 Sb
0.1161 0.5000 0.7500 Sb
0.1161 0.0000 0.2500 Sb
0.8839 0.5000 0.2500 Sb

[6]
BeRuS2I meta-GGA SCAN single point on PBEsol structure; uncorrected energy = -91.731 eV/cell; spin magnetization = 0.00 μB per cell
1.0
4.4103 0.0000 0.0000
0.0000 4.4103 0.0000
0.0000 0.0000 5.6928
I Ru S Be
1 1 2 1
direct
0.0000 0.0000 0.5000 I
0.0000 0.0000 0.0000 Ru
0.0000 0.5000 0.0000 S
0.5000 0.0000 0.0000 S
0.5000 0.5000 0.5000 Be

[7]
CoAu2 meta-GGA SCAN single point on PBEsol structure; uncorrected energy = -154.621 eV/cell; ΔE_f = 1.00 eV/f.u.; spin magnetization = 2.11 μB per cell
1.0
2.6452 0.0000 0.0000
0.0000 4.5263 0.0000
0.0000 -2.2631 3.9199
Co Au
1 2
direct
0.5000 0.0000 0.0000 Co
0.0000 0.6667 0.3333 Au
0.0000 0.3333 0.6667 Au

[8]
MgZn2Sb meta-GGA SCAN single point on PBEsol structure; uncorrected energy = -69.296 eV/cell; spin magnetization = 0.00 μB per cell
1.0
-0.0805 -0.0378 -3.0528
4.2970 -0.1388 -0.1115
-0.1890 -6.0796 0.2853
Mg Sb Zn
1 1 2
direct
0.5000 0.5000 0.0000 Mg
0.0000 0.5000 0.5000 Sb
0.9963 0.0000 0.7948 Zn
0.0037 0.0000 0.2052 Zn

[9]
SrLiCo2 meta-GGA SCAN single point on PBEsol structure; uncorrected energy = -57.588 eV/cell; energy above the lowest structure with this stoichiometry = 0.0 kJ per mole of atoms; ΔE_f = 1.69 eV/f.u.; spin magnetization = 3.33 μB per cell
1.0
3.1147 0.0000 0.0000
0.0000 3.1147 0.0000
0.0000 0.0000 7.6083
Co Li Sr
2 1 1
direct
0.0000 0.0000 0.0897 Co
0.5000 0.5000 0.1965 Co
0.0000 0.0000 0.4153 Li
0.5000 0.5000 0.7986 Sr

[10]
TiAsSe3 meta-GGA SCAN single point on PBEsol structure; uncorrected energy = -96.285 eV/cell; spin magnetization = 0.00 μB per cell
1.0
4.8333 0.0000 0.0000
0.0000 4.8333 0.0000
0.0000 0.0000 4.8333
As Se Ti
1 3 1
direct
0.5000 0.5000 0.5000 As
0.0000 0.5000 0.0000 Se
0.0000 0.0000 0.5000 Se
0.5000 0.0000 0.0000 Se
0.0000 0.0000 0.0000 Ti

[11]
Cu2PbAu meta-GGA SCAN single point on PBEsol structure; uncorrected energy = -174.295 eV/cell; ΔE_f = 1.04 eV/f.u.; spin magnetization = 0.00 μB per cell
1.0
4.5622 0.0000 0.0000
2.2811 3.9510 0.0000
2.2811 1.3170 3.7250
Au Cu Pb
1 2 1
direct
0.5000 0.5000 0.5000 Au
0.0000 0.0000 0.0000 Cu
0.2500 0.2500 0.2500 Cu
0.7500 0.7500 0.7500 Pb

[12]
RbPtF2 meta-GGA SCAN single point on PBEsol structure; uncorrected energy = -204.690 eV/cell; energy above the lowest structure with this stoichiometry = 41.1 kJ per mole of atoms; spin magnetization = 2.01 μB per cell
1.0
-4.1879 -0.2660 2.2655
2.0822 -2.3798 3.5697
2.4224 7.3869 0.3262
Rb Pt F
2 2 4
direct
0.7500 0.2500 0.5000 Rb
0.5000 0.5000 0.0000 Rb
0.2500 0.7500 0.5000 Pt
0.0000 0.0000 0.0000 Pt
0.2331 0.8750 0.2500 F
0.0169 0.3750 0.2500 F
0.1250 0.9831 0.7500 F
0.6250 0.7669 0.7500 F